No. 1
5
Lattice="4.509 0.000 0.000 0.000 4.509 0.000 0.000 0.000 4.554" Properties=species:S:1:pos:R:3 comment="PBE CrMoAs2Os, optimized geometry" volume_a3_per_cell=93 space_group=P4/mmm magmom_total_mub_per_cell=2.90 final_energy_ev_per_atom=-6.95 pbc="T T T"
Cr 0.000 0.000 0.000
Mo 2.254 2.254 2.277
As 0.000 2.254 0.000
As 2.254 0.000 0.000
Os 0.000 0.000 2.277

---

No. 2
5
Lattice="4.660 0.000 0.000 0.000 4.660 0.000 0.000 0.000 4.700" Properties=species:S:1:pos:R:3 comment="PBE Cr2MoAsOs, optimized geometry" volume_a3_per_cell=102 space_group=P4/mmm magmom_total_mub_per_cell=5.34 final_energy_ev_per_atom=-7.56 pbc="T T T"
Cr 0.000 2.330 0.000
Cr 2.330 0.000 0.000
Mo 0.000 0.000 0.000
As 2.330 2.330 2.350
Os 0.000 0.000 2.350

---

No. 3
5
Lattice="4.644 0.000 0.000 0.000 4.644 0.000 0.000 0.000 4.856" Properties=species:S:1:pos:R:3 comment="PBE Cr2MoAsPt, optimized geometry" volume_a3_per_cell=105 space_group=P4/mmm magmom_total_mub_per_cell=5.47 final_energy_ev_per_atom=-6.85 pbc="T T T"
Cr 0.000 2.322 0.000
Cr 2.322 0.000 0.000
Mo 0.000 0.000 0.000
As 2.322 2.322 2.428
Pt 0.000 0.000 2.428